[1]
Computed, not measured: a geometry-optimized Zn3Ni2Pd2 structure at the PBE level of DFT.

Computed properties:
Space group ... No. 2
ΔE_f ... -0.31 eV per atom
N(E_F) ... 0.575 states/eV per atom

Cell lengths 4.1673, 4.2194, 6.5316 Å; angles 107.62, 90.31, 119.47 degrees
Sites, in units of the cell vectors:
Zn 0.0000 0.0000 0.0000
Zn 0.4308 0.8592 0.2980
Zn 0.5692 0.1408 0.7020
Ni 0.1381 0.2738 0.4170
Ni 0.8619 0.7262 0.5830
Pd 0.2845 0.5705 0.8503
Pd 0.7155 0.4295 0.1497

[2]
Computed, not measured: a geometry-optimized Zn2NiPd7 structure at the PBE level of DFT.

Computed properties:
Space group ... No. 65
ΔE_f ... 0.10 eV per atom
N(E_F) ... 1.089 states/eV per atom

Cell lengths 8.6744, 8.6744, 2.7227 Å; angles 90.00, 90.00, 123.97 degrees
Sites, in units of the cell vectors:
Zn 0.1673 0.8327 0.0000
Zn 0.8327 0.1673 0.0000
Ni 0.5000 0.5000 0.5000
Pd 0.0000 0.0000 0.0000
Pd 0.1925 0.3747 0.0000
Pd 0.3062 0.6938 0.5000
Pd 0.3747 0.1925 0.0000
Pd 0.6253 0.8075 0.0000
Pd 0.6938 0.3062 0.5000
Pd 0.8075 0.6253 0.0000

Which value of N(E_F) does entry 2 give?
1.089 states/eV per atom

What is the formula in the second record?
Zn2NiPd7

The highest ΔE_f belongs to which entry?
Zn2NiPd7